Entry 1:
A plane-wave DFT calculation with GGA-PBEsol was carried out for a geometry-optimized Cs4FeMo3O12 structure.

abc: 6.1903 6.1903 24.2292
angles: 90.00 90.00 120.00
Space group P31c (No. 159)
Unique sites:
Cs  0.3333  0.6667  0.0000 x2
Cs  0.3333  0.6667  0.1777 x2
Cs  0.3333  0.6667  0.3646 x2
Cs  0.3333  0.6667  0.8047 x2
Fe  0.0000  0.0000  0.0855 x2
Mo  0.0000  0.0000  0.2427 x2
Mo  0.0000  0.0000  0.4293 x2
Mo  0.3333  0.6667  0.6076 x2
O  0.0000  0.0000  0.0033 x2
O  0.0000  0.0000  0.1684 x2
O  0.1075  0.7478  0.5841 x6
O  0.1529  0.3077  0.2677 x6
O  0.1530  0.3103  0.9056 x6
O  0.3333  0.6667  0.6789 x2

Summary:
Formation energy from raw total energies   -1.99 eV per atom
DFT total energy   -301.66 eV for the cell shown


Entry 2:
A plane-wave DFT calculation with GGA-PBEsol was carried out for a geometry-optimized CsFeN2O structure.

abc: 4.341 4.341 4.219
angles: 90.00 90.00 90.00
Space group P4/mmm (No. 123)
Unique sites:
Cs  0.000  0.000  0.000 x1
Fe  0.500  0.500  0.500 x1
N  0.000  0.500  0.000 x2
O  0.000  0.000  0.500 x1

Summary:
Formation energy from raw total energies   2.52 eV per atom
DFT total energy   -19.60 eV for the cell shown


Entry 3:
A plane-wave DFT calculation with GGA-PBEsol was carried out for a geometry-optimized CsNa2Fe structure.

abc: 8.205 8.205 8.205
angles: 90.00 90.00 90.00
Space group Fm-3m (No. 225)
Unique sites:
Cs  0.000  0.000  0.000 x4
Na  0.250  0.250  0.250 x8
Fe  0.000  0.000  0.500 x4

Summary:
E_form   3.723 eV/f.u.
DFT total energy   -35.93 eV for the cell shown


Entry 4:
A plane-wave DFT calculation with GGA-PBEsol was carried out for a geometry-optimized Cs3NaFe structure.

abc: 7.385 7.385 7.385
angles: 90.00 90.00 90.00
Space group Pm-3m (No. 221)
Unique sites:
Cs  0.000  0.000  0.500 x3
Na  0.000  0.000  0.000 x1
Fe  0.500  0.500  0.500 x1

Summary:
E_form   5.179 eV/f.u.
DFT total energy   -8.01 eV for the cell shown


Entry 5:
A plane-wave DFT calculation with GGA-PBEsol was carried out for a geometry-optimized Cs4FeO4 structure.

abc: 10.755 6.840 11.462
angles: 90.00 99.38 90.00
Space group P2_1/c (No. 14)
Unique sites:
Cs  0.063  0.080  0.328 x4
Cs  0.162  0.618  0.507 x4
Cs  0.392  0.712  0.785 x4
Cs  0.406  0.238  0.931 x4
Fe  0.241  0.133  0.647 x4
O  0.092  0.228  0.581 x4
O  0.198  0.502  0.269 x4
O  0.336  0.150  0.163 x4
O  0.340  0.536  0.082 x4

Summary:
Formation energy from raw total energies   -1.37 eV per atom
DFT total energy   -184.31 eV for the cell shown


Entry 6:
A plane-wave DFT calculation with GGA-PBEsol was carried out for a geometry-optimized CsFeO2 structure.

abc: 8.296 8.296 8.296
angles: 90.00 90.00 90.00
Space group Fd-3m (No. 227, origin choice 2)
Unique sites:
Cs  0.125  0.125  0.125 x8
Fe  0.125  0.125  0.625 x8
O  0.000  0.000  0.500 x16

Summary:
Formation energy from raw total energies   -1.29 eV per atom
DFT total energy   -204.50 eV for the cell shown


Entry 7:
A plane-wave DFT calculation with GGA-PBEsol was carried out for a geometry-optimized CsFeS2O8 structure.

abc: 4.7285 4.7285 8.7969
angles: 90.00 90.00 120.00
Space group P-3 (No. 147)
Unique sites:
Cs  0.0000  0.0000  0.0000 x1
Fe  0.0000  0.0000  0.5000 x1
S  0.3333  0.6667  0.3186 x2
O  0.0540  0.3493  0.3727 x6
O  0.3333  0.6667  0.1525 x2

Summary:
Formation energy from raw total energies   -1.46 eV per atom
DFT total energy   -78.23 eV for the cell shown


Entry 8:
A plane-wave DFT calculation with GGA-PBEsol was carried out for a geometry-optimized CsFeP2 structure.

abc: 6.877 6.877 6.877
angles: 90.00 90.00 90.00
Space group Fm-3m (No. 225)
Unique sites:
Cs  0.000  0.000  0.000 x4
Fe  0.000  0.000  0.500 x4
P  0.250  0.250  0.250 x8

Summary:
E_form   4.350 eV/f.u.
Relative energy among the computed polymorphs   1331 meV/atom
DFT total energy   -68.56 eV for the cell shown